No. 1
Crystalline Cs3Sr2PaSe6 at its relaxed geometry. Source: Alexandria via LeMat-Bulk, functional GGA-PBE.

Calculated values
Magnetic moment = 0.00 Bohr magnetons per cell
ΔE_f (raw) = -1.63 eV/atom
DOS(E_F) = 0.00 states/eV/f.u.

Cell and atoms, written as POSCAR:
```
Cs3Sr2PaSe6
1.0
7.7741 0.0041 0.0022
-3.8816 6.7357 0.0022
-1.2960 -2.2440 8.3349
Cs Se Sr Pa
3 6 2 1
direct
0.1737 0.8263 0.5000
0.8263 0.1737 0.5000
0.5000 0.5000 0.5000
0.6359 0.9369 0.8108
0.0631 0.3641 0.1892
0.7644 0.7644 0.1920
0.2356 0.2356 0.8080
0.3641 0.0631 0.1892
0.9369 0.6359 0.8108
0.3341 0.6659 0.0000
0.6659 0.3341 0.0000
0.0000 0.0000 0.0000
```

***

No. 2
Crystalline Zr2HgSb at its relaxed geometry. Source: Alexandria via LeMat-Bulk, functional GGA-PBE.

Calculated values
Magnetic moment = 0.00 Bohr magnetons per cell
ΔE_f (raw) = -0.26 eV/atom
DOS(E_F) = 3.86 states/eV/f.u.

Cell and atoms, written as POSCAR:
```
Zr2HgSb
1.0
-2.5849 0.9902 -1.7749
-0.0428 -2.8974 -1.5541
-5.0721 -2.9920 5.7178
Zr Hg Sb
2 1 1
direct
0.0000 0.0000 0.9956
0.0000 0.0000 0.5044
0.5000 0.5000 0.2500
0.5000 0.5000 0.7500
```

***

| no. | electronic total energy (eV per atom) |
| --- | --- |
| 1 | -4.657 |
| 2 | -5.638 |